1.
SiTc3Ag: PBEsol geometry, meta-GGA SCAN.

Geometry as POSCAR:
```
SiTc3Ag
1.0
4.354 0.000 0.000
0.000 4.354 0.000
0.000 0.000 4.354
Si Tc Ag
1 3 1
direct
0.000 0.000 0.000 Si
0.000 0.000 0.500 Tc
0.000 0.500 0.000 Tc
0.500 0.000 0.000 Tc
0.500 0.500 0.500 Ag
```

Computed properties:
Uncorrected formation energy: 5.2 eV/f.u.
D(E_F): 4.43 states/eV/f.u.
Total magnetization: 0.000 μB per atom
Uncorrected energy: -28.27 eV/atom

2.
SiTc2Ag: PBEsol geometry, meta-GGA SCAN.

Geometry as POSCAR:
```
SiTc2Ag
1.0
2.836 0.000 0.000
0.000 3.701 0.000
0.000 0.000 5.468
Si Tc Ag
1 2 1
direct
0.000 0.000 0.000 Si
0.000 0.000 0.464 Tc
0.500 0.500 0.252 Tc
0.500 0.500 0.752 Ag
```

Computed properties:
Uncorrected formation energy: 0.9 eV/f.u.
D(E_F): 2.38 states/eV/f.u.
Total magnetization: 0.000 μB per atom
Uncorrected energy: -27.66 eV/atom

3.
Si2Tc2Ag: PBEsol geometry, meta-GGA SCAN.

Geometry as POSCAR:
```
Si2Tc2Ag
1.0
-1.715 1.715 6.260
1.715 -1.715 6.260
1.715 1.715 -6.260
Si Tc Ag
2 2 1
direct
0.250 0.750 0.500 Si
0.750 0.250 0.500 Si
0.111 0.111 0.000 Tc
0.889 0.889 0.000 Tc
0.500 0.500 0.000 Ag
```

Computed properties:
Uncorrected formation energy: 0.6 eV/f.u.
D(E_F): 5.04 states/eV/f.u.
Total magnetization: 0.002 μB per atom
Uncorrected energy: -24.19 eV/atom

4.
SiAgTe2: PBEsol geometry, meta-GGA SCAN.

Geometry as POSCAR:
```
SiAgTe2
1.0
1.994 1.151 6.721
-1.994 1.151 6.721
0.000 -2.303 6.721
Si Ag Te
1 1 2
direct
0.000 0.000 0.000 Si
0.500 0.500 0.500 Ag
0.255 0.255 0.255 Te
0.745 0.745 0.745 Te
```

Computed properties:
Uncorrected formation energy: 0.2 eV/f.u.
Offset from the most stable computed form: 0.000 eV/atom
D(E_F): 0.95 states/eV/f.u.
Total magnetization: 0.000 μB per atom
Uncorrected energy: -28.91 eV/atom

5.
SiAgTe2: PBEsol geometry, meta-GGA SCAN.

Geometry as POSCAR:
```
SiAgTe2
1.0
1.581 0.913 10.744
-1.581 0.913 10.744
0.000 -1.825 10.744
Si Ag Te
1 1 2
direct
0.000 0.000 0.000 Si
0.500 0.500 0.500 Ag
0.089 0.089 0.089 Te
0.911 0.911 0.911 Te
```

Computed properties:
Uncorrected formation energy: 2.1 eV/f.u.
Offset from the most stable computed form: 0.472 eV/atom
D(E_F): 2.04 states/eV/f.u.
Total magnetization: 0.000 μB per atom
Uncorrected energy: -28.44 eV/atom

6.
Si3AgTe: PBEsol geometry, meta-GGA SCAN.

Geometry as POSCAR:
```
Si3AgTe
1.0
5.154 0.000 0.000
0.000 5.154 0.000
0.000 0.000 5.154
Si Ag Te
3 1 1
direct
0.000 0.000 0.500 Si
0.000 0.500 0.000 Si
0.500 0.000 0.000 Si
0.500 0.500 0.500 Ag
0.000 0.000 0.000 Te
```

Computed properties:
Uncorrected formation energy: 8.3 eV/f.u.
D(E_F): 2.66 states/eV/f.u.
Total magnetization: 0.000 μB per atom
Uncorrected energy: -18.06 eV/atom

7.
SiAg2Te: PBEsol geometry, meta-GGA SCAN.

Geometry as POSCAR:
```
SiAg2Te
1.0
-1.563 2.108 6.175
1.563 -2.108 6.175
1.563 2.108 -6.175
Si Ag Te
1 2 1
direct
0.000 0.000 0.000 Si
0.484 0.484 0.000 Ag
0.824 0.324 0.500 Ag
0.202 0.702 0.500 Te
```

Computed properties:
Uncorrected formation energy: 1.2 eV/f.u.
Offset from the most stable computed form: 0.000 eV/atom
D(E_F): 1.24 states/eV/f.u.
Total magnetization: 0.000 μB per atom
Uncorrected energy: -27.21 eV/atom

8.
SiAgTe2: PBEsol geometry, meta-GGA SCAN.

Geometry as POSCAR:
```
SiAgTe2
1.0
2.047 -2.963 0.000
2.047 2.963 0.000
0.000 0.000 7.706
Si Ag Te
1 1 2
direct
0.000 0.000 0.000 Si
0.000 0.000 0.500 Ag
0.500 0.500 0.242 Te
0.500 0.500 0.758 Te
```

Computed properties:
Uncorrected formation energy: 1.8 eV/f.u.
Offset from the most stable computed form: 0.390 eV/atom
D(E_F): 1.94 states/eV/f.u.
Total magnetization: 0.000 μB per atom
Uncorrected energy: -28.52 eV/atom

9.
SiAgTe2: PBEsol geometry, meta-GGA SCAN.

Geometry as POSCAR:
```
SiAgTe2
1.0
-3.034 3.034 6.585
3.034 -3.034 6.585
3.034 3.034 -6.585
Si Ag Te
2 2 4
direct
0.000 0.000 0.000 Si
0.750 0.250 0.500 Si
0.250 0.750 0.500 Ag
0.500 0.500 0.000 Ag
0.108 0.625 0.983 Te
0.375 0.358 0.483 Te
0.642 0.125 0.017 Te
0.875 0.892 0.517 Te
```

Computed properties:
Uncorrected formation energy: 0.7 eV/f.u.
Offset from the most stable computed form: 0.106 eV/atom
D(E_F): 2.34 states/eV/f.u.
Total magnetization: 0.000 μB per atom
Uncorrected energy: -28.81 eV/atom

10.
SiAg2Te: PBEsol geometry, meta-GGA SCAN.

Geometry as POSCAR:
```
SiAg2Te
1.0
1.936 1.118 6.304
-1.936 1.118 6.304
0.000 -2.236 6.304
Si Ag Te
1 2 1
direct
0.000 0.000 0.000 Si
0.268 0.268 0.268 Ag
0.518 0.518 0.518 Ag
0.759 0.759 0.759 Te
```

Computed properties:
Uncorrected formation energy: 1.2 eV/f.u.
Offset from the most stable computed form: 0.019 eV/atom
D(E_F): 1.41 states/eV/f.u.
Total magnetization: 0.000 μB per atom
Uncorrected energy: -27.19 eV/atom

11.
TlSiAg2: PBEsol geometry, meta-GGA SCAN.

Geometry as POSCAR:
```
TlSiAg2
1.0
1.567 0.905 8.777
-1.567 0.905 8.777
0.000 -1.809 8.777
Tl Si Ag
1 1 2
direct
0.000 0.000 0.000 Tl
0.500 0.500 0.500 Si
0.239 0.239 0.239 Ag
0.761 0.761 0.761 Ag
```

Computed properties:
Uncorrected formation energy: 1.2 eV/f.u.
D(E_F): 1.32 states/eV/f.u.
Total magnetization: 0.000 μB per atom
Uncorrected energy: -35.97 eV/atom

12.
TlSiAg2: PBEsol geometry, meta-GGA SCAN.

Geometry as POSCAR:
```
TlSiAg2
1.0
4.271 -1.533 0.000
4.271 1.533 0.000
-1.269 0.000 5.863
Tl Si Ag
1 1 2
direct
0.000 0.000 0.000 Tl
0.500 0.500 0.500 Si
0.240 0.240 0.700 Ag
0.760 0.760 0.300 Ag
```

Computed properties:
Uncorrected formation energy: 1.3 eV/f.u.
D(E_F): 1.46 states/eV/f.u.
Total magnetization: 0.000 μB per atom
Uncorrected energy: -35.94 eV/atom